# 1
An optimized crystal structure of ScTaMn. Source: the Alexandria database, functional PBE.

Values from the calculation:
Its energy above the most stable polymorph in this dataset is 25.3 kJ/mol of atoms.

```
ScTaMn
1.0
3.083 0.000 0.000
-1.542 2.670 0.000
0.000 0.000 6.391
Sc Ta Mn
1 1 1
Direct
0.000 0.000 0.000 Sc
0.333 0.667 0.409 Ta
0.667 0.333 0.678 Mn
```

# 2
An optimized crystal structure of ScTaMn2. Source: the Alexandria database, functional PBE.

```
ScTaMn2
1.0
4.412 0.000 0.000
0.000 4.412 0.000
0.000 0.000 3.083
Sc Ta Mn
1 1 2
Direct
0.000 0.000 0.000 Sc
0.500 0.500 0.000 Ta
0.000 0.500 0.500 Mn
0.500 0.000 0.500 Mn
```

# 3
An optimized crystal structure of Sc2TaMn. Source: the Alexandria database, functional PBE.

Values from the calculation:
Its energy above the most stable polymorph in this dataset is 27.6 kJ/mol of atoms.

```
Sc2TaMn
1.0
4.180 0.000 0.000
0.000 4.180 0.000
0.000 0.000 8.781
Sc Ta Mn
4 2 2
Direct
0.000 0.500 0.250 Sc
0.000 0.500 0.750 Sc
0.500 0.000 0.250 Sc
0.500 0.000 0.750 Sc
0.000 0.000 0.000 Ta
0.500 0.500 0.500 Ta
0.000 0.000 0.500 Mn
0.500 0.500 0.000 Mn
```

# 4
An optimized crystal structure of ScTa2Mn. Source: the Alexandria database, functional PBE.

Values from the calculation:
Its energy above the most stable polymorph in this dataset is 21.4 kJ/mol of atoms.

```
ScTa2Mn
1.0
5.531 0.000 0.000
0.000 9.387 0.000
-0.930 0.000 2.691
Sc Ta Mn
2 4 2
Direct
0.000 0.000 0.000 Sc
0.500 0.500 0.000 Sc
0.250 0.250 0.500 Ta
0.250 0.750 0.500 Ta
0.750 0.250 0.500 Ta
0.750 0.750 0.500 Ta
0.000 0.500 0.000 Mn
0.500 0.000 0.000 Mn
```

# 5
An optimized crystal structure of ScTaMn. Source: the Alexandria database, functional PBE.

Values from the calculation:
Its energy above the most stable polymorph in this dataset is 14.1 kJ/mol of atoms.

```
ScTaMn
1.0
4.366 0.000 0.000
-2.183 3.781 0.000
0.000 0.000 3.024
Sc Ta Mn
1 1 1
Direct
0.000 0.000 0.000 Sc
0.667 0.333 0.430 Ta
0.333 0.667 0.674 Mn
```

# 6
An optimized crystal structure of ScTaMn2. Source: the Alexandria database, functional PBE.

```
ScTaMn2
1.0
6.890 0.000 0.000
0.000 6.890 0.000
0.000 0.000 5.637
Sc Ta Mn
4 4 8
Direct
0.000 0.000 0.000 Sc
0.000 0.500 0.250 Sc
0.500 0.000 0.750 Sc
0.500 0.500 0.500 Sc
0.000 0.000 0.500 Ta
0.000 0.500 0.750 Ta
0.500 0.000 0.250 Ta
0.500 0.500 0.000 Ta
0.236 0.250 0.625 Mn
0.250 0.736 0.875 Mn
0.250 0.764 0.375 Mn
0.264 0.250 0.125 Mn
0.736 0.750 0.125 Mn
0.750 0.236 0.375 Mn
0.750 0.264 0.875 Mn
0.764 0.750 0.625 Mn
```

# 7
An optimized crystal structure of ScTaMn. Source: the Alexandria database, functional PBE.

Values from the calculation:
Its energy above the most stable polymorph in this dataset is 0.5 kJ/mol of atoms.

```
ScTaMn
1.0
3.150 0.000 0.000
0.000 3.150 0.000
0.000 0.000 10.249
Sc Ta Mn
2 2 2
Direct
0.000 0.000 0.000 Sc
0.500 0.500 0.500 Sc
0.000 0.000 0.705 Ta
0.500 0.500 0.205 Ta
0.000 0.000 0.329 Mn
0.500 0.500 0.829 Mn
```

# 8
An optimized crystal structure of ScTaMn2. Source: the Alexandria database, functional PBE.

```
ScTaMn2
1.0
2.807 0.000 0.000
0.000 4.424 0.000
0.000 0.000 5.162
Sc Ta Mn
1 1 2
Direct
0.000 0.000 0.000 Sc
0.500 0.500 0.326 Ta
0.000 0.000 0.503 Mn
0.500 0.500 0.812 Mn
```

no.,electronic total energy (eV per cell),DFT formation energy (eV per atom)
1,-26.52,0.277
2,-36.60,-0.020
3,-65.07,0.287
4,-76.42,0.249
5,-26.87,0.161
6,-137.61,0.530
7,-54.59,0.020
8,-35.33,0.298